No. 1
Compound: NbInTe2AuS
Source: the Open Quantum Materials Database
Functional: PBE
Structure: optimized geometry

Structure (extended XYZ):
```
12
Lattice="4.526 5.035 -3.977 -4.832 -1.680 5.956 7.821 -2.598 5.611" Properties=species:S:1:pos:R:3 pbc="T T T"
S 9.732 2.613 0.932
S -2.217 -1.856 6.659
Nb 3.910 -1.299 2.806
Nb 0.000 0.000 0.000
In 4.041 2.634 0.017
In 3.474 -1.877 7.575
Au 1.525 0.829 2.688
Au 5.990 -0.072 4.904
Te 8.689 0.118 4.998
Te -1.174 0.639 2.593
Te 5.362 1.223 2.611
Te 2.153 -0.467 4.980
```

Space-group type ... No. 63
VASP energy ... -0.3391 Ry/atom


No. 2
Compound: NbInTe3Au
Source: the Open Quantum Materials Database
Functional: PBE
Structure: optimized geometry

Structure (extended XYZ):
```
12
Lattice="3.852 0.000 0.000 0.000 10.583 0.000 -1.926 0.000 7.833" Properties=species:S:1:pos:R:3 pbc="T T T"
Au 1.926 0.000 0.628
Au 0.000 5.292 7.204
Nb 0.000 2.646 0.000
Nb 0.000 7.937 0.000
Te 0.000 3.024 5.716
Te 1.926 2.267 2.116
Te 0.000 7.559 5.716
Te 1.926 8.316 2.116
Te 1.926 0.000 6.469
Te 0.000 5.292 1.364
In 1.926 5.292 4.193
In 0.000 0.000 3.639
```

Space-group type ... No. 63
VASP energy ... -0.3236 Ry/atom


No. 3
Compound: NdIn4Au2
Source: the Open Quantum Materials Database
Functional: PBE
Structure: optimized geometry

Structure (extended XYZ):
```
28
Lattice="18.635 0.000 0.000 0.000 4.660 0.000 0.000 0.000 7.506" Properties=species:S:1:pos:R:3 pbc="T T T"
In 3.503 1.165 1.974
In 8.071 1.165 0.108
In 8.664 3.495 4.805
In 12.760 1.165 6.196
In 15.192 3.495 2.443
In 17.982 3.495 6.453
In 5.875 3.495 1.310
In 9.971 1.165 2.701
In 15.132 3.495 5.531
In 10.564 3.495 7.398
In 5.815 3.495 5.727
In 1.247 3.495 3.860
In 0.653 1.165 1.052
In 12.820 1.165 1.779
In 3.443 1.165 5.062
In 17.388 1.165 3.645
Nd 15.991 1.165 0.197
Nd 11.961 3.495 3.949
Nd 2.644 3.495 7.309
Nd 6.674 1.165 3.556
Au 8.602 3.495 1.922
Au 13.384 3.495 0.262
Au 4.067 3.495 3.491
Au 5.251 1.165 7.244
Au 0.715 1.165 5.675
Au 10.032 1.165 5.584
Au 14.568 1.165 4.014
Au 17.920 3.495 1.831
```

Space-group type ... No. 62
VASP energy ... -0.2645 Ry/atom


No. 4
Compound: Nd2InAu2
Source: the Open Quantum Materials Database
Functional: PBE
Structure: optimized geometry

Structure (extended XYZ):
```
10
Lattice="-1.643 6.446 -4.606 -2.294 -4.890 -6.024 -3.681 0.040 1.369" Properties=species:S:1:pos:R:3 pbc="T T T"
Au -1.064 -1.002 -2.832
Au -2.873 2.558 -7.799
Au -2.615 -1.865 -6.974
Au -1.323 3.421 -3.656
Nd -3.667 -2.156 -4.162
Nd -4.844 0.310 -7.398
Nd -3.952 3.752 -5.099
Nd -2.775 1.287 -1.863
In 0.000 0.000 0.000
In -1.969 0.778 -5.315
```

Space-group type ... No. 127
VASP energy ... -0.3333 Ry/atom


No. 5
Compound: NdInAu2
Source: the Open Quantum Materials Database
Functional: PBE
Structure: optimized geometry

Structure (extended XYZ):
```
4
Lattice="-0.959 1.848 -4.134 -5.319 1.041 1.699 -3.065 4.061 2.525" Properties=species:S:1:pos:R:3 pbc="T T T"
Nd -3.488 2.755 -0.551
Au -7.688 4.679 3.873
Au -1.176 1.348 -1.716
In -5.374 3.270 2.708
```

Space-group type ... No. 38
VASP energy ... -0.2987 Ry/atom


No. 6
Compound: NdInAu6
Source: the Open Quantum Materials Database
Functional: PBE
Structure: optimized geometry

Structure (extended XYZ):
```
8
Lattice="5.085 0.000 0.000 0.000 6.078 0.000 0.000 0.000 5.220" Properties=species:S:1:pos:R:3 pbc="T T T"
Au 2.543 3.039 0.927
Au 2.543 1.486 3.433
Au 0.000 0.000 4.369
Au 0.000 1.431 1.775
Au 2.543 4.592 3.433
Au 0.000 4.647 1.775
In 2.543 0.000 0.781
Nd 0.000 3.039 4.389
```

Space-group type ... No. 25
VASP energy ... -0.2752 Ry/atom


No. 7
Compound: Nd3In3NiAu2
Source: the Open Quantum Materials Database
Functional: PBE
Structure: optimized geometry

Structure (extended XYZ):
```
9
Lattice="-3.542 -0.412 6.980 7.769 -0.902 -0.511 0.491 3.956 0.483" Properties=species:S:1:pos:R:3 pbc="T T T"
Nd 4.624 -0.537 -0.304
Nd -2.108 -0.245 4.154
Nd 1.711 -0.532 2.619
Ni 0.000 0.000 0.000
In 2.111 1.762 0.119
In -0.605 1.879 1.917
In 3.458 0.979 5.157
Au 4.244 1.239 2.227
Au 0.474 1.403 4.724
```

Space-group type ... No. 189
VASP energy ... -0.3318 Ry/atom


No. 8
Compound: Nd3In3Ni2Au
Source: the Open Quantum Materials Database
Functional: PBE
Structure: optimized geometry

Structure (extended XYZ):
```
9
Lattice="-6.932 -2.577 -1.994 5.970 -4.796 0.155 -0.803 -0.873 3.919" Properties=species:S:1:pos:R:3 pbc="T T T"
Ni 1.268 -4.493 1.398
Ni -3.033 -3.753 0.682
Nd -4.054 -1.507 -1.166
Nd -0.399 -3.061 -0.763
Nd 3.492 -2.805 0.091
In -1.109 -5.860 0.607
In -2.234 -1.118 1.433
In 1.177 -1.704 2.001
Au 0.000 0.000 0.000
```

Space-group type ... No. 189
VASP energy ... -0.3401 Ry/atom


> Among the records above, which one has the highest VASP energy?

NdIn4Au2